No. 1
# Ac3ScRh2O9

A relaxed structure of Ac3ScRh2O9 (GGA-PBE, the Alexandria database).

Structure (POSCAR):
```
Ac3ScRh2O9
1.0
5.7419 0.0000 0.0000
-2.8710 4.9727 0.0000
0.0000 0.0000 7.0631
Ac Sc Rh O
3 1 2 9
Cartesian
0.0000 0.0000 0.0000 Ac
0.0000 3.3151 4.8319 Ac
2.8710 1.6575 2.2312 Ac
0.0000 0.0000 3.5316 Sc
0.0000 3.3151 1.2085 Rh
2.8710 1.6575 5.8546 Rh
-1.4355 2.4863 0.0000 O
0.0000 1.6600 2.3343 O
-1.4333 4.1426 2.3343 O
1.4376 0.8300 4.7289 O
2.8710 0.0000 0.0000 O
1.4355 2.4863 0.0000 O
1.4333 4.1426 2.3343 O
4.3043 0.8300 4.7289 O
2.8710 3.3126 4.7289 O
```

formation energy from raw total energies	-3589	kJ/mol of formula units
SG	No. 164


No. 2
# AcRhSe2O6

A relaxed structure of AcRhSe2O6 (GGA-PBE, the Alexandria database).

Structure (POSCAR):
```
AcRhSe2O6
1.0
2.6586 1.5349 6.4969
-2.6586 1.5349 6.4969
0.0000 -3.0699 6.4969
Ac Rh Se O
1 1 2 6
Cartesian
0.0000 0.0000 0.0000 Ac
0.0000 0.0000 9.7454 Rh
0.0000 0.0000 4.1528 Se
0.0000 0.0000 15.3379 Se
-1.1057 -1.3898 8.0598 O
-1.7565 0.2626 11.4310 O
-0.6508 1.6525 8.0598 O
0.6508 -1.6525 11.4310 O
1.7565 -0.2626 8.0598 O
1.1057 1.3898 11.4310 O
```

formation energy from raw total energies	-1218	kJ/mol of formula units
SG	No. 148


No. 3
# Ac3RhSeO

A relaxed structure of Ac3RhSeO (GGA-PBE, the Alexandria database).

Structure (POSCAR):
```
Ac3RhSeO
1.0
9.3079 0.0000 0.0000
0.0000 4.2484 0.0000
-2.0395 0.0000 9.2175
Ac Rh Se O
6 2 2 2
Cartesian
-0.0530 1.0621 3.0442 Ac
0.9569 1.0621 9.0545 Ac
2.1520 3.1863 5.9038 Ac
5.1164 1.0621 3.3137 Ac
6.3115 3.1863 0.1630 Ac
7.3214 3.1863 6.1733 Ac
0.0906 1.0621 5.9785 Rh
7.1778 3.1863 3.2390 Rh
2.5892 3.1863 2.4962 Se
4.6792 1.0621 6.7213 Se
2.0300 3.1863 8.3622 O
5.2383 1.0621 0.8553 O
```

formation energy from raw total energies	-1024	kJ/mol of formula units
SG	No. 11


No. 4
# AcSmRhO6

A relaxed structure of AcSmRhO6 (GGA-PBE, the Alexandria database).

Structure (POSCAR):
```
AcSmRhO6
1.0
5.6300 0.0000 0.0000
-2.8150 4.8758 0.0000
0.0000 0.0000 5.2772
Ac Sm Rh O
1 1 1 6
Cartesian
0.0000 0.0000 0.0000 Ac
0.0000 3.2505 2.6386 Sm
2.8150 1.6252 2.6386 Rh
2.0146 0.2210 3.7689 O
1.1988 1.6342 1.5083 O
3.6154 0.2210 1.5083 O
1.9991 3.0205 3.7689 O
4.4313 1.6342 3.7689 O
3.6309 3.0205 1.5083 O
```

formation energy from raw total energies	-1764	kJ/mol of formula units
SG	No. 149


No. 5
# Ac2SmRhO6

A relaxed structure of Ac2SmRhO6 (GGA-PBE, the Alexandria database).

Structure (POSCAR):
```
Ac2SmRhO6
1.0
5.7989 0.0000 0.0000
0.0000 8.4734 0.0000
0.0000 0.0000 6.3696
Ac Sm Rh O
4 2 2 12
Cartesian
1.4497 0.2865 1.2251 Ac
1.4497 3.9501 1.2251 Ac
4.3491 4.5232 5.1444 Ac
4.3491 8.1868 5.1444 Ac
1.4497 2.1183 4.4543 Sm
4.3491 6.3550 1.9153 Sm
1.4497 6.3550 5.0301 Rh
4.3491 2.1183 1.3395 Rh
0.0088 2.1183 6.2712 O
0.0647 2.1183 2.7017 O
1.4497 4.3034 5.0937 O
1.4497 8.4067 5.0937 O
2.8347 2.1183 2.7017 O
2.8907 2.1183 6.2712 O
2.9082 6.3550 0.0983 O
2.9641 6.3550 3.6679 O
4.3491 0.0667 1.2759 O
4.3491 4.1700 1.2759 O
5.7342 6.3550 3.6679 O
5.7901 6.3550 0.0983 O
```

formation energy from raw total energies	-2491	kJ/mol of formula units
SG	No. 59


No. 6
# Ac2SmRh3O12

A relaxed structure of Ac2SmRh3O12 (GGA-PBE, the Alexandria database).

Structure (POSCAR):
```
Ac2SmRh3O12
1.0
3.6001 2.0785 5.3618
-3.6001 2.0785 5.3618
0.0000 -4.1571 5.3618
Ac Sm Rh O
2 1 3 12
Cartesian
0.0000 0.0000 1.8165 Ac
0.0000 0.0000 14.2690 Ac
0.0000 0.0000 8.0428 Sm
-1.8001 -1.0393 5.3618 Rh
-1.8001 1.0393 10.7237 Rh
0.0000 2.0785 5.3618 Rh
-2.1157 -1.2215 7.2616 O
0.0000 -1.7094 5.8747 O
-1.4804 0.8547 5.8747 O
0.0000 -2.4430 8.8240 O
-2.1157 1.2215 8.8240 O
-1.4804 -0.8547 10.2109 O
1.4804 0.8547 5.8747 O
2.1157 -1.2215 7.2616 O
0.0000 2.4430 7.2616 O
1.4804 -0.8547 10.2109 O
0.0000 1.7094 10.2109 O
2.1157 1.2215 8.8240 O
```

formation energy from raw total energies	-2954	kJ/mol of formula units
SG	No. 166


No. 7
# AcSnRhO6

A relaxed structure of AcSnRhO6 (GGA-PBE, the Alexandria database).

Structure (POSCAR):
```
AcSnRhO6
1.0
5.3911 0.0000 0.0000
-2.6956 4.6688 0.0000
0.0000 0.0000 10.7424
Ac Sn Rh O
2 2 2 12
Cartesian
0.0000 0.0000 0.0000 Ac
0.0000 0.0000 5.3712 Ac
0.0000 3.1126 2.6856 Sn
2.6956 1.5563 8.0568 Sn
0.0000 3.1126 8.0568 Rh
2.6956 1.5563 2.6856 Rh
-0.9392 1.7629 6.9332 O
-1.6384 2.9740 9.1804 O
0.9392 1.7629 9.1804 O
-0.6993 4.6007 6.9332 O
1.9963 0.0681 1.5620 O
1.0571 1.6948 3.8092 O
1.6384 2.9740 6.9332 O
0.6993 4.6007 9.1804 O
3.3948 0.0681 3.8092 O
1.7564 2.9059 1.5620 O
4.3340 1.6948 1.5620 O
3.6347 2.9059 3.8092 O
```

formation energy from raw total energies	-1509	kJ/mol of formula units
SG	No. 163


No. 8
# AcSn2RhO8

A relaxed structure of AcSn2RhO8 (GGA-PBE, the Alexandria database).

Structure (POSCAR):
```
AcSn2RhO8
1.0
4.9197 0.0000 0.0000
0.0000 6.7467 0.0000
-0.1780 0.0000 4.9882
Ac Sn Rh O
1 2 1 8
Cartesian
0.0000 0.0000 0.0000 Ac
2.3708 1.7493 2.4941 Sn
2.3708 4.9974 2.4941 Sn
0.0000 3.3734 0.0000 Rh
1.0957 1.9744 0.8794 O
1.0957 4.7724 0.8794 O
1.2129 3.3734 3.4232 O
1.3483 0.0000 3.1582 O
3.3933 0.0000 1.8300 O
3.5288 3.3734 1.5650 O
3.6460 1.9744 4.1088 O
3.6460 4.7724 4.1088 O
```

formation energy from raw total energies	-1771	kJ/mol of formula units
SG	No. 10


No. 9
# Sr2AcRhO6

A relaxed structure of Sr2AcRhO6 (GGA-PBE, the Alexandria database).

Structure (POSCAR):
```
Sr2AcRhO6
1.0
5.9659 0.0000 0.0000
0.0000 6.1252 0.0000
-5.7300 0.0000 8.5156
Sr Ac Rh O
4 2 2 12
Cartesian
-0.0557 0.3030 2.1210 Sr
-2.9207 2.7596 6.3788 Sr
3.1566 3.3656 2.1368 Sr
0.2916 5.8222 6.3946 Sr
2.9829 0.0000 0.0000 Ac
0.1179 3.0626 4.2578 Ac
-2.8650 0.0000 4.2578 Rh
0.0000 3.0626 0.0000 Rh
-4.6797 1.4240 7.9896 O
-1.8147 1.6386 3.7318 O
-4.1539 4.2078 8.0659 O
-1.2889 4.9801 3.8081 O
-2.1958 0.2426 6.1372 O
0.6692 2.8200 1.8794 O
-0.4333 3.3052 6.6363 O
2.4317 5.8826 2.3785 O
1.5248 1.1452 4.7075 O
4.3898 1.9175 0.4497 O
2.0506 4.4866 4.7839 O
4.9156 4.7012 0.5261 O
```

formation energy from raw total energies	-2094	kJ/mol of formula units
SG	No. 14


No. 10
# AcTaRhO6

A relaxed structure of AcTaRhO6 (GGA-PBE, the Alexandria database).

Structure (POSCAR):
```
AcTaRhO6
1.0
5.0295 0.0000 0.0000
0.0000 5.0295 0.0000
0.0000 0.0000 9.9191
Ac Ta Rh O
2 2 2 12
Cartesian
0.0000 0.0000 0.0000 Ac
2.5147 2.5147 4.9596 Ac
0.0000 0.0000 6.5507 Ta
2.5147 2.5147 1.5911 Ta
0.0000 0.0000 3.2066 Rh
2.5147 2.5147 8.1662 Rh
0.8284 0.8284 4.8746 O
1.0833 1.0833 7.8690 O
1.1200 1.1200 1.8479 O
1.3947 3.6348 6.8074 O
1.4314 3.5981 2.9095 O
1.6864 3.3431 9.8342 O
3.3431 1.6864 9.8342 O
3.5981 1.4314 2.9095 O
3.6348 1.3947 6.8074 O
3.9095 3.9095 1.8479 O
3.9462 3.9462 7.8690 O
4.2011 4.2011 4.8746 O
```

formation energy from raw total energies	-1871	kJ/mol of formula units
SG	No. 102


No. 11
# Ac2TbRh3O12

A relaxed structure of Ac2TbRh3O12 (GGA-PBE, the Alexandria database).

Structure (POSCAR):
```
Ac2TbRh3O12
1.0
3.5923 2.0740 5.3494
-3.5923 2.0740 5.3494
0.0000 -4.1481 5.3494
Ac Tb Rh O
2 1 3 12
Cartesian
0.0000 0.0000 1.8183 Ac
0.0000 0.0000 14.2298 Ac
0.0000 0.0000 8.0240 Tb
-1.7962 -1.0370 5.3494 Rh
-1.7962 1.0370 10.6987 Rh
0.0000 2.0740 5.3494 Rh
-2.0825 -1.2023 7.2627 O
0.0000 -1.7077 5.8448 O
-1.4789 0.8539 5.8448 O
0.0000 -2.4047 8.7854 O
-2.0825 1.2023 8.7854 O
-1.4789 -0.8539 10.2033 O
1.4789 0.8539 5.8448 O
2.0825 -1.2023 7.2627 O
0.0000 2.4047 7.2627 O
1.4789 -0.8539 10.2032 O
0.0000 1.7077 10.2032 O
2.0825 1.2023 8.7854 O
```

formation energy from raw total energies	-2939	kJ/mol of formula units
SG	No. 166


No. 12
# AcTb2RhO8

A relaxed structure of AcTb2RhO8 (GGA-PBE, the Alexandria database).

Structure (POSCAR):
```
AcTb2RhO8
1.0
4.3555 0.0000 0.0000
0.0991 5.1131 0.0000
2.1007 0.0986 6.7096
Ac Tb Rh O
1 2 1 8
Cartesian
0.0000 0.0000 0.0000 Ac
2.3103 2.6556 1.9723 Tb
4.2450 2.5560 4.7373 Tb
1.0504 0.0493 3.3548 Rh
2.0346 1.6191 4.0971 O
2.3199 3.9872 4.2534 O
1.1068 2.5406 0.0258 O
2.1802 5.0476 1.5868 O
4.3751 0.1640 5.1228 O
5.4485 2.6711 6.6838 O
4.2355 1.2245 2.4562 O
4.5207 3.5925 2.6125 O
```

formation energy from raw total energies	-2622	kJ/mol of formula units
SG	No. 2